Record 1
VASP calculation (GGA-PBE) on an optimized crystal structure of MnAlCuOs.

volume: 53.73 Å³ per cell
magnetization: 3.46 μB/cell
energy of formation: -80 meV per atom

The structure in POSCAR format:
```
MnAlCuOs
1.0
4.236 0.000 0.000
2.118 3.668 0.000
2.118 1.223 3.458
Mn Os Al Cu
1 1 1 1
direct
0.250 0.250 0.250
0.500 0.500 0.500
0.750 0.750 0.750
0.000 0.000 0.000
```

***

Record 2
VASP calculation (GGA-PBE) on an optimized crystal structure of Mn2AlCuP.

volume: 92.18 Å³ per cell
magnetization: 6.91 μB/cell
energy of formation: 974 meV per atom

The structure in POSCAR format:
```
Mn2AlCuP
1.0
-4.328 0.890 1.277
-1.343 -4.042 -1.735
0.746 -1.901 3.850
P Mn Al Cu
1 2 1 1
direct
0.500 0.500 0.500
0.000 0.500 0.000
0.500 0.000 0.000
0.000 0.000 0.000
0.000 0.000 0.500
```

***

Record 3
VASP calculation (GGA-PBE) on an optimized crystal structure of PaMnAlCu.

volume: 66.89 Å³ per cell
magnetization: 1.82 μB/cell
energy of formation: -17 meV per atom

The structure in POSCAR format:
```
PaMnAlCu
1.0
-2.776 3.456 -1.055
-3.453 -0.655 -2.900
-4.293 0.022 1.527
Mn Pa Al Cu
1 1 1 1
direct
0.250 0.250 0.250
0.500 0.500 0.500
0.000 0.000 0.000
0.750 0.750 0.750
```